Record 1
An optimized crystal structure of Y2MgSb4, computed with PBE.

Lattice parameters (Å, degrees): 4.236 4.236 11.162 90.00 90.00 90.00
Fractional coordinates of all 7 atoms:
Y  0.000  0.500  0.225
Y  0.500  0.000  0.775
Mg  0.000  0.000  0.500
Sb  0.000  0.000  0.000
Sb  0.000  0.500  0.675
Sb  0.500  0.000  0.325
Sb  0.500  0.500  0.000

ΔE_f (raw) (eV per atom): -0.70
Fermi-level density of states (states/eV per atom): 0.285

=====

Record 2
An optimized crystal structure of Y4MgSb, computed with PBE.

Lattice parameters (Å, degrees): 6.383 6.383 6.383 60.00 60.00 60.00
Fractional coordinates of all 6 atoms:
Y  0.125  0.125  0.125
Y  0.125  0.125  0.625
Y  0.125  0.625  0.125
Y  0.625  0.125  0.125
Mg  0.750  0.750  0.750
Sb  0.500  0.500  0.500

ΔE_f (raw) (eV per atom): 0.19
Fermi-level density of states (states/eV per atom): 1.447

=====

Record 3
An optimized crystal structure of YMgSb2, computed with PBE.

Lattice parameters (Å, degrees): 6.650 6.650 6.650 106.68 106.68 115.22
Fractional coordinates of all 8 atoms:
Y  0.000  0.000  0.000
Y  0.750  0.250  0.500
Mg  0.250  0.750  0.500
Mg  0.500  0.500  0.000
Sb  0.147  0.125  0.522
Sb  0.375  0.853  0.978
Sb  0.603  0.625  0.478
Sb  0.875  0.397  0.022

ΔE_f (raw) (eV per atom): -0.48
Fermi-level density of states (states/eV per atom): 0.379

=====

Record 4
An optimized crystal structure of YMgSb2, computed with PBE.

Lattice parameters (Å, degrees): 3.725 3.725 7.989 90.00 90.00 104.24
Fractional coordinates of all 4 atoms:
Y  0.000  0.000  0.000
Mg  0.000  0.000  0.500
Sb  0.500  0.500  0.256
Sb  0.500  0.500  0.744

ΔE_f (raw) (eV per atom): -0.48
Fermi-level density of states (states/eV per atom): 0.402

=====

Record 5
An optimized crystal structure of YMgSb2, computed with PBE.

Lattice parameters (Å, degrees): 5.328 5.328 5.328 60.00 60.00 60.00
Fractional coordinates of all 4 atoms:
Y  0.000  0.000  0.000
Mg  0.750  0.750  0.750
Sb  0.250  0.250  0.250
Sb  0.500  0.500  0.500

ΔE_f (raw) (eV per atom): -0.16
Fermi-level density of states (states/eV per atom): 0.692

=====

Record 6
An optimized crystal structure of YMgSb, computed with PBE.

Lattice parameters (Å, degrees): 11.298 11.298 11.298 22.35 22.35 22.35
Fractional coordinates of all 6 atoms:
Y  0.205  0.205  0.205
Y  0.795  0.795  0.795
Mg  0.367  0.367  0.367
Mg  0.633  0.633  0.633
Sb  0.078  0.078  0.078
Sb  0.922  0.922  0.922

ΔE_f (raw) (eV per atom): -0.30
Fermi-level density of states (states/eV per atom): 0.401

=====

Record 7
An optimized crystal structure of YMg2Sb, computed with PBE.

Lattice parameters (Å, degrees): 10.725 10.725 10.725 18.34 18.34 18.34
Fractional coordinates of all 4 atoms:
Y  0.000  0.000  0.000
Mg  0.245  0.245  0.245
Mg  0.755  0.755  0.755
Sb  0.500  0.500  0.500

ΔE_f (raw) (eV per atom): -0.04
Fermi-level density of states (states/eV per atom): 0.898

=====

Record 8
An optimized crystal structure of YMg2ZnSb, computed with PBE.

Lattice parameters (Å, degrees): 5.805 5.805 5.385 90.00 90.00 90.00
Fractional coordinates of all 5 atoms:
Y  0.000  0.000  0.000
Mg  0.000  0.500  0.000
Mg  0.500  0.000  0.000
Zn  0.000  0.000  0.500
Sb  0.500  0.500  0.500

ΔE_f (raw) (eV per atom): 1.00
Fermi-level density of states (states/eV per atom): 0.992